[1]
Below is a geometry-optimized TlCd2In6 structure, with properties calculated at the GGA-PBE level.

Unit cell a=5.656 b=5.656 c=10.241 alpha=90.00 beta=90.00 gamma=120.00
Element x y z (fractional)
Tl 0.000 0.000 0.000
Cd 0.333 0.667 0.500
Cd 0.667 0.333 0.500
In 0.000 0.346 0.750
In 0.000 0.654 0.250
In 0.346 0.000 0.750
In 0.346 0.346 0.250
In 0.654 0.000 0.250
In 0.654 0.654 0.750

Values from the calculation:
Total moment: 0.0 μB per formula unit
E_tot: -19.35 eV per cell

=====

[2]
Below is a geometry-optimized TlCd10In2 structure, with properties calculated at the GGA-PBE level.

Unit cell a=9.906 b=7.823 c=7.718 alpha=79.20 beta=50.87 gamma=49.93
Element x y z (fractional)
Tl 0.000 0.000 0.000
Cd 0.000 0.000 0.500
Cd 0.003 0.652 0.348
Cd 0.282 0.503 0.497
Cd 0.348 0.997 0.003
Cd 0.497 0.718 0.282
Cd 0.500 0.500 0.000
Cd 0.503 0.282 0.718
Cd 0.652 0.003 0.997
Cd 0.718 0.497 0.503
Cd 0.997 0.348 0.652
In 0.000 0.500 0.000
In 0.500 0.000 0.500

Values from the calculation:
Total moment: 0.0 μB per formula unit
E_tot: -16.28 eV per cell